1.
Here is an optimized crystal structure of AcTbPa from Alexandria. Energies are from PBE.

Geometry as CIF:
```
data_AcTbPa
_chemical_formula_sum 'Ac2 Tb2 Pa2'
_cell_length_a 3.617
_cell_length_b 3.617
_cell_length_c 15.177
_cell_angle_alpha 90.00
_cell_angle_beta 90.00
_cell_angle_gamma 90.00
_space_group_name_H-M_alt 'P 1'
_space_group_IT_number 1
_space_group_name_Hall 'P 1'
loop_
_atom_site_label
_atom_site_type_symbol
_atom_site_fract_x
_atom_site_fract_y
_atom_site_fract_z
Tb1 Tb 0.000 0.500 0.208
Tb2 Tb 0.500 0.000 0.792
Pa1 Pa 0.000 0.500 0.940
Pa2 Pa 0.500 0.000 0.060
Ac1 Ac 0.000 0.500 0.600
Ac2 Ac 0.500 0.000 0.400
```

Results
Energy above the lowest structure with this stoichiometry in meV/atom: 0.0
N(E_F) in states/eV/cell: 10.71
ΔH_f (0 K) in eV per atom: 0.15

2.
Here is an optimized crystal structure of PrNd2Th3Sb6 from Alexandria. Energies are from PBE.

Geometry as CIF:
```
data_PrNd2Th3Sb6
_chemical_formula_sum 'Pr1 Nd2 Th3 Sb6'
_cell_length_a 4.522
_cell_length_b 9.031
_cell_length_c 10.115
_cell_angle_alpha 102.93
_cell_angle_beta 102.92
_cell_angle_gamma 90.00
_space_group_name_H-M_alt 'P 1'
_space_group_IT_number 1
_space_group_name_Hall 'P 1'
loop_
_atom_site_label
_atom_site_type_symbol
_atom_site_fract_x
_atom_site_fract_y
_atom_site_fract_z
Sb1 Sb 0.668 0.083 0.335
Sb2 Sb 0.666 0.584 0.333
Sb3 Sb 0.332 0.917 0.665
Sb4 Sb 0.334 0.416 0.667
Sb5 Sb 0.000 0.748 0.000
Sb6 Sb 0.000 0.252 0.000
Th1 Th 0.834 0.167 0.667
Th2 Th 0.500 0.500 0.000
Th3 Th 0.166 0.833 0.333
Nd1 Nd 0.833 0.667 0.667
Nd2 Nd 0.167 0.333 0.333
Pr1 Pr 0.500 0.000 0.000
```

Results
Formation energy from raw total energies in eV per formula unit: -12.76
N(E_F) in states/eV/cell: 6.18